1.
## Ce2CoIr (GGA-PBE)

Data for Ce2CoIr after structural relaxation.

Lattice parameters (Å, degrees): 3.4508 3.4508 6.7570 90.00 90.00 90.00
With the nearest neighbours (Å) after each atom.
Space group P4/mmm (No. 123)
Unique sites:
Ce 0.0000 0.0000 0.2405 (multiplicity 2)  4 Co 2.93, 4 Ir 3.00, 1 Ce 3.25
Co 0.5000 0.5000 0.0000 (multiplicity 1)  8 Ce 2.93
Ir 0.5000 0.5000 0.5000 (multiplicity 1)  8 Ce 3.00

Calculated values
The value obtained for the formation energy from the elements is -0.36 eV/atom. The value obtained for the density of states at the Fermi level is 6.8 states/eV/f.u.

2.
## Ac3DyY2Se6 (GGA-PBE)

Data for Ac3DyY2Se6 after structural relaxation.

Lattice parameters (Å, degrees): 7.2221 12.5412 7.6991 90.00 108.32 90.00
With the nearest neighbours (Å) after each atom.
Space group C2/m (No. 12)
Unique sites:
Ac 0.0000 0.0000 0.0000 (multiplicity 2)  6 Se 3.16
Ac 0.0000 0.3330 0.0000 (multiplicity 4)  6 Se 3.16
Dy 0.0000 0.5000 0.5000 (multiplicity 2)  6 Se 2.89
Y 0.0000 0.1666 0.5000 (multiplicity 4)  6 Se 2.90
Se 0.2394 0.3337 0.7198 (multiplicity 8)  1 Dy 2.89, 2 Y 2.90, 3 Ac 3.16
Se 0.2407 0.0000 0.7203 (multiplicity 4)  1 Dy 2.89, 2 Y 2.90, 3 Ac 3.16

Calculated values
The formation energy without anion corrections comes out at -1809 meV/atom. The value obtained for the density of states at the Fermi level is 5.0 states/eV/f.u.

3.
## Er4W (GGA-PBE)

Data for Er4W after structural relaxation.

Lattice parameters (Å, degrees): 5.4098 5.4098 5.4098 90.00 90.00 90.00
With the nearest neighbours (Å) after each atom.
Space group Pm-3m (No. 221)
Unique sites:
Er 0.0000 0.0000 0.0000 (multiplicity 1)  12 Er 3.83
Er 0.0000 0.5000 0.5000 (multiplicity 3)  2 W 2.70
W 0.5000 0.5000 0.5000 (multiplicity 1)  6 Er 2.70

Calculated values
The value obtained for the formation energy from the elements is 0.54 eV/atom. The value obtained for the density of states at the Fermi level is 5.7 states/eV/f.u.

4.
## KY2Sc (GGA-PBE)

Data for KY2Sc after structural relaxation.

Lattice parameters (Å, degrees): 11.5150 3.4522 7.2461 90.00 96.44 90.00
With the nearest neighbours (Å) after each atom.
Space group C2/m (No. 12)
Unique sites:
K 0.0000 0.0000 0.0000 (multiplicity 2)  2 K 3.45, 2 Y 3.71
Y 0.2394 0.0000 0.6966 (multiplicity 4)  4 Y 3.36-3.45, 3 Sc 3.42-3.46, 1 K 3.71
Sc 0.0000 0.5000 0.5000 (multiplicity 2)  6 Y 3.42-3.46, 2 Sc 3.45

Calculated values
The value obtained for the formation energy from the elements is 0.44 eV/atom. The value obtained for the density of states at the Fermi level is 8.2 states/eV/f.u. The energy above the most stable polymorph in this dataset is 79.3 kJ/mol of formula units.

5.
## LaDyErS3 (GGA-PBE)

Data for LaDyErS3 after structural relaxation.

Lattice parameters (Å, degrees): 6.8654 3.9127 10.3591 90.00 102.78 90.00
With the nearest neighbours (Å) after each atom.
Space group P2_1/m (No. 11)
Unique sites:
La 0.1542 0.2500 0.1930 (multiplicity 2)  7 S 2.95-3.01
Dy 0.2665 0.7500 0.5554 (multiplicity 2)  6 S 2.75-2.81
Er 0.3740 0.2500 0.8666 (multiplicity 2)  5 S 2.68-2.74
S 0.0514 0.2500 0.6609 (multiplicity 2)  1 Er 2.71, 3 Dy 2.76-2.81, 2 La 3.01
S 0.2351 0.7500 0.9985 (multiplicity 2)  3 Er 2.68-2.74, 3 La 2.95-2.96
S 0.4508 0.7500 0.3447 (multiplicity 2)  1 Er 2.72, 3 Dy 2.75-2.79, 2 La 3.00

Calculated values
The formation energy without anion corrections comes out at -1989 meV/atom. The value obtained for the density of states at the Fermi level is 3.8 states/eV/f.u.

6.
## Ni2RhCl (GGA-PBE)

Data for Ni2RhCl after structural relaxation.

Lattice parameters (Å, degrees): 3.0082 3.0082 6.2315 90.00 90.00 90.00
With the nearest neighbours (Å) after each atom.
Space group P4mm (No. 99)
Unique sites:
Ni 0.0000 0.0000 0.0000 (multiplicity 1)  4 Ni 2.48, 1 Rh 2.62, 4 Cl 2.64
Ni 0.5000 0.5000 0.2052 (multiplicity 1)  4 Ni 2.48, 4 Rh 2.51
Rh 0.0000 0.0000 0.4198 (multiplicity 1)  5 Ni 2.51-2.62
Cl 0.5000 0.5000 0.7490 (multiplicity 1)  5 Ni 2.64-2.84, 4 Rh 2.96

Calculated values
The formation energy without anion corrections comes out at 308 meV/atom. The value obtained for the density of states at the Fermi level is 4.3 states/eV/f.u. The energy above the most stable polymorph in this dataset is 40.7 kJ/mol of formula units.

7.
## YMgZnO2 (GGA-PBE)

Data for YMgZnO2 after structural relaxation.

Lattice parameters (Å, degrees): 4.1900 4.1900 4.6037 90.00 90.00 90.00
With the nearest neighbours (Å) after each atom.
Space group P4/mmm (No. 123)
Unique sites:
Y 0.0000 0.0000 0.0000 (multiplicity 1)  4 Mg 2.96, 8 O 3.11
Mg 0.5000 0.5000 0.0000 (multiplicity 1)  2 Zn 2.30
Zn 0.5000 0.5000 0.5000 (multiplicity 1)  4 O 2.10, 2 Mg 2.30
O 0.0000 0.5000 0.5000 (multiplicity 2)  2 Zn 2.10

Calculated values
The formation energy without anion corrections comes out at -400 meV/atom. The value obtained for the density of states at the Fermi level is 2.3 states/eV/f.u.

8.
## Sc2CdO (GGA-PBE)

Data for Sc2CdO after structural relaxation.

Lattice parameters (Å, degrees): 6.6464 6.6464 6.6464 90.00 90.00 90.00
With the nearest neighbours (Å) after each atom.
Space group Fm-3m (No. 225)
Unique sites:
Sc 0.2500 0.2500 0.2500 (multiplicity 8)  4 O 2.88, 4 Cd 2.88
Cd 0.0000 0.0000 0.0000 (multiplicity 4)  8 Sc 2.88
O 0.0000 0.0000 0.5000 (multiplicity 4)  8 Sc 2.88

Calculated values
The formation energy without anion corrections comes out at -317 meV/atom. The value obtained for the density of states at the Fermi level is 5.4 states/eV/f.u. The energy above the most stable polymorph in this dataset is 471.8 kJ/mol of formula units.

In order of appearance, electronic total energy = -7.323; -6.039; -5.701; -4.649; -6.401; -4.882; -4.250; -4.951 eV/atom.